No. 1
A plane-wave DFT calculation with GGA-PBE was carried out for a geometry-optimized Ba2InHgTe4 structure.

Geometry as CIF:
```
data_Ba2InHgTe4
_symmetry_space_group_name_H-M 'C 1 2/c 1'
_symmetry_Int_Tables_number 15
_symmetry_space_group_name_Hall '-C 2yc'
_cell_length_a 12.713
_cell_length_b 14.079
_cell_length_c 9.335
_cell_angle_alpha 90.00
_cell_angle_beta 131.48
_cell_angle_gamma 90.00
loop_
_atom_site_label
_atom_site_type_symbol
_atom_site_fract_x
_atom_site_fract_y
_atom_site_fract_z
Ba1 Ba 0.000 0.000 0.000
Ba2 Ba 0.250 0.250 0.000
In1 In 0.000 0.500 0.000
Hg1 Hg 0.250 0.250 0.500
Te1 Te 0.032 0.257 0.502
Te2 Te 0.232 0.495 0.989
```

Computed properties:
Uncorrected energy: -26.1 eV/f.u.
Total magnetization: 0.000 μB/f.u.
Formation energy from raw total energies: -6.61 eV per formula unit


No. 2
A plane-wave DFT calculation with GGA-PBE was carried out for a geometry-optimized Ba2InHgTe5 structure.

Geometry as CIF:
```
data_Ba2InHgTe5
_symmetry_space_group_name_H-M 'C m c 21'
_symmetry_Int_Tables_number 36
_symmetry_space_group_name_Hall 'C 2c -2'
_cell_length_a 4.586
_cell_length_b 21.720
_cell_length_c 13.534
_cell_angle_alpha 90.00
_cell_angle_beta 90.00
_cell_angle_gamma 90.00
loop_
_atom_site_label
_atom_site_type_symbol
_atom_site_fract_x
_atom_site_fract_y
_atom_site_fract_z
Ba1 Ba 0.000 0.111 0.000
Ba2 Ba 0.000 0.121 0.620
In1 In 0.000 0.428 0.769
Hg1 Hg 0.000 0.244 0.354
Te1 Te 0.000 0.045 0.385
Te2 Te 0.000 0.273 0.001
Te3 Te 0.000 0.298 0.711
Te4 Te 0.000 0.372 0.313
Te5 Te 0.000 0.495 0.593
```

Computed properties:
Uncorrected energy: -30.1 eV/f.u.
Total magnetization: 0.000 μB/f.u.
Formation energy from raw total energies: -7.51 eV per formula unit


No. 3
A plane-wave DFT calculation with GGA-PBE was carried out for a geometry-optimized BaInHg2Te4 structure.

Geometry as CIF:
```
data_BaInHg2Te4
_symmetry_space_group_name_H-M 'I 2 2 2'
_symmetry_Int_Tables_number 23
_symmetry_space_group_name_Hall 'I 2 2'
_cell_length_a 8.088
_cell_length_b 8.230
_cell_length_c 8.822
_cell_angle_alpha 90.00
_cell_angle_beta 90.00
_cell_angle_gamma 90.00
loop_
_atom_site_label
_atom_site_type_symbol
_atom_site_fract_x
_atom_site_fract_y
_atom_site_fract_z
Ba1 Ba 0.000 0.000 0.000
In1 In 0.000 0.000 0.500
Hg1 Hg 0.000 0.500 0.243
Te1 Te 0.206 0.203 0.320
```

Computed properties:
Uncorrected energy: -22.3 eV/f.u.
Total magnetization: 0.000 μB/f.u.
Formation energy from raw total energies: -4.46 eV per formula unit


No. 4
A plane-wave DFT calculation with GGA-PBE was carried out for a geometry-optimized Ba2TlIn3Hg4 structure.

Geometry as CIF:
```
data_Ba2TlIn3Hg4
_symmetry_space_group_name_H-M 'P -4 m 2'
_symmetry_Int_Tables_number 115
_symmetry_space_group_name_Hall 'P -4 -2'
_cell_length_a 5.061
_cell_length_b 5.061
_cell_length_c 12.000
_cell_angle_alpha 90.00
_cell_angle_beta 90.00
_cell_angle_gamma 90.00
loop_
_atom_site_label
_atom_site_type_symbol
_atom_site_fract_x
_atom_site_fract_y
_atom_site_fract_z
Ba1 Ba 0.000 0.500 0.242
Tl1 Tl 0.000 0.000 0.500
In1 In 0.000 0.500 0.875
In2 In 0.500 0.500 0.500
Hg1 Hg 0.000 0.000 0.000
Hg2 Hg 0.000 0.500 0.639
Hg3 Hg 0.500 0.500 0.000
```

Computed properties:
DFT formation energy: -3.49 eV/f.u.
Uncorrected energy: -19.1 eV/f.u.
Total magnetization: 0.000 μB/f.u.


No. 5
A plane-wave DFT calculation with GGA-PBE was carried out for a geometry-optimized Ba4TlInHg2 structure.

Geometry as CIF:
```
data_Ba4TlInHg2
_symmetry_space_group_name_H-M 'R -3 m'
_symmetry_Int_Tables_number 166
_symmetry_space_group_name_Hall '-R 3 2"'
_cell_length_a 6.0077
_cell_length_b 6.0077
_cell_length_c 29.4788
_cell_angle_alpha 90.00
_cell_angle_beta 90.00
_cell_angle_gamma 120.00
loop_
_atom_site_label
_atom_site_type_symbol
_atom_site_fract_x
_atom_site_fract_y
_atom_site_fract_z
Ba1 Ba 0.0000 0.0000 0.1251
Ba2 Ba 0.0000 0.0000 0.3753
Tl1 Tl 0.0000 0.0000 0.0000
In1 In 0.0000 0.0000 0.5000
Hg1 Hg 0.0000 0.0000 0.2498
```

Computed properties:
DFT formation energy: -3.75 eV/f.u.
Uncorrected energy: -17.1 eV/f.u.
Total magnetization: 0.000 μB/f.u.


No. 6
A plane-wave DFT calculation with GGA-PBE was carried out for a geometry-optimized BaTlIn2Hg2 structure.

Geometry as CIF:
```
data_BaTlIn2Hg2
_symmetry_space_group_name_H-M 'P -3 m 1'
_symmetry_Int_Tables_number 164
_symmetry_space_group_name_Hall '-P 3 2"'
_cell_length_a 5.1629
_cell_length_b 5.1629
_cell_length_c 7.9817
_cell_angle_alpha 90.00
_cell_angle_beta 90.00
_cell_angle_gamma 120.00
loop_
_atom_site_label
_atom_site_type_symbol
_atom_site_fract_x
_atom_site_fract_y
_atom_site_fract_z
Ba1 Ba 0.0000 0.0000 0.0000
Tl1 Tl 0.0000 0.0000 0.5000
In1 In 0.3333 0.6667 0.6761
Hg1 Hg 0.3333 0.6667 0.2442
```

Computed properties:
DFT formation energy: -1.67 eV/f.u.
Uncorrected energy: -12.0 eV/f.u.
Total magnetization: 0.000 μB/f.u.


No. 7
A plane-wave DFT calculation with GGA-PBE was carried out for a geometry-optimized Ba2Tl3InHg4 structure.

Geometry as CIF:
```
data_Ba2Tl3InHg4
_symmetry_space_group_name_H-M 'P -4 m 2'
_symmetry_Int_Tables_number 115
_symmetry_space_group_name_Hall 'P -4 -2'
_cell_length_a 5.126
_cell_length_b 5.126
_cell_length_c 12.201
_cell_angle_alpha 90.00
_cell_angle_beta 90.00
_cell_angle_gamma 90.00
loop_
_atom_site_label
_atom_site_type_symbol
_atom_site_fract_x
_atom_site_fract_y
_atom_site_fract_z
Ba1 Ba 0.000 0.500 0.244
Tl1 Tl 0.000 0.500 0.869
Tl2 Tl 0.500 0.500 0.500
In1 In 0.000 0.000 0.500
Hg1 Hg 0.000 0.000 0.000
Hg2 Hg 0.000 0.500 0.631
Hg3 Hg 0.500 0.500 0.000
```

Computed properties:
DFT formation energy: -2.97 eV/f.u.
Uncorrected energy: -17.9 eV/f.u.
Total magnetization: 0.000 μB/f.u.


No. 8
A plane-wave DFT calculation with GGA-PBE was carried out for a geometry-optimized BaTlInHg2 structure.

Geometry as CIF:
```
data_BaTlInHg2
_symmetry_space_group_name_H-M 'I -4 m 2'
_symmetry_Int_Tables_number 119
_symmetry_space_group_name_Hall 'I -4 -2'
_cell_length_a 4.935
_cell_length_b 4.935
_cell_length_c 12.814
_cell_angle_alpha 90.00
_cell_angle_beta 90.00
_cell_angle_gamma 90.00
loop_
_atom_site_label
_atom_site_type_symbol
_atom_site_fract_x
_atom_site_fract_y
_atom_site_fract_z
Ba1 Ba 0.000 0.000 0.000
Tl1 Tl 0.000 0.500 0.750
In1 In 0.000 0.500 0.250
Hg1 Hg 0.000 0.000 0.388
```

Computed properties:
DFT formation energy: -1.67 eV/f.u.
Energy above the most stable polymorph in this dataset: 0 kJ/mol of formula units
Uncorrected energy: -9.3 eV/f.u.
Total magnetization: 0.000 μB/f.u.


Question: uncorrected energy of number 1 (Ba2InHgTe4)?
Answer: -26.1 eV/f.u.


Question: Which formula does entry 4 have?
Answer: Ba2TlIn3Hg4